Record 1
Na2CaFe after structural relaxation, computed with GGA-PBEsol.

Results
- energy of formation from the pure elements (eV/atom) = 0.76

Cell and atoms, written as POSCAR:
```
Na2CaFe
1.0
0.000 3.708 3.708
3.708 0.000 3.708
3.708 3.708 0.000
Na Ca Fe
2 1 1
direct
0.250 0.250 0.250
0.750 0.750 0.750
0.000 0.000 0.000
0.500 0.500 0.500
```


Record 2
Ca2Nd2Nb3FeO14 after structural relaxation, computed with GGA-PBEsol.

Results
- formation energy (no corrections) (eV/atom) = -2.7765

Cell and atoms, written as POSCAR:
```
Ca2Nd2Nb3FeO14
1.0
6.295 -3.735 0.000
6.295 3.735 0.000
-4.098 0.000 6.016
Ca Nd Nb Fe O
2 2 3 1 14
direct
0.000 0.000 0.000
0.000 0.000 0.500
0.000 0.500 0.000
0.500 0.000 0.000
0.000 0.500 0.500
0.500 0.000 0.500
0.500 0.500 0.000
0.500 0.500 0.500
0.124 0.124 0.874
0.176 0.570 0.421
0.178 0.572 0.825
0.179 0.179 0.430
0.422 0.422 0.170
0.428 0.822 0.175
0.430 0.824 0.579
0.570 0.176 0.421
0.572 0.178 0.825
0.578 0.578 0.830
0.821 0.821 0.570
0.822 0.428 0.175
0.824 0.430 0.579
0.876 0.876 0.126
```


Record 3
Ca2NbFeO6 after structural relaxation, computed with GGA-PBEsol.

Results
- formation energy (no corrections) (eV/atom) = -2.5125

Cell and atoms, written as POSCAR:
```
Ca2NbFeO6
1.0
5.411 0.000 0.000
0.000 5.577 0.000
-5.374 0.000 7.720
Ca Nb Fe O
4 2 2 12
direct
0.235 0.053 0.248
0.235 0.447 0.748
0.765 0.553 0.252
0.765 0.947 0.752
0.500 0.000 0.000
0.500 0.500 0.500
0.000 0.000 0.500
0.000 0.500 0.000
0.155 0.203 0.952
0.155 0.297 0.452
0.249 0.706 0.950
0.249 0.794 0.450
0.343 0.029 0.750
0.343 0.471 0.250
0.657 0.529 0.750
0.657 0.971 0.250
0.751 0.206 0.550
0.751 0.294 0.050
0.845 0.703 0.548
0.845 0.797 0.048
```


Record 4
Ca3FeNi after structural relaxation, computed with GGA-PBEsol.

Results
- energy of formation from the pure elements (eV/atom) = 0.58

Cell and atoms, written as POSCAR:
```
Ca3FeNi
1.0
5.210 0.000 0.000
0.000 5.210 0.000
0.000 0.000 5.210
Ca Fe Ni
3 1 1
direct
0.000 0.000 0.500
0.000 0.500 0.000
0.500 0.000 0.000
0.500 0.500 0.500
0.000 0.000 0.000
```


Record 5
CaTi2FeNi after structural relaxation, computed with GGA-PBEsol.

Results
- energy of formation from the pure elements (eV/atom) = 0.50

Cell and atoms, written as POSCAR:
```
CaTi2FeNi
1.0
4.546 0.000 0.000
0.000 4.546 0.000
0.000 0.000 4.555
Ca Ti Fe Ni
1 2 1 1
direct
0.000 0.000 0.000
0.000 0.500 0.500
0.500 0.000 0.500
0.500 0.500 0.000
0.500 0.500 0.500
```


Record 6
CaFeO2 after structural relaxation, computed with GGA-PBEsol.

Results
- formation energy (no corrections) (eV/atom) = -1.7777

Cell and atoms, written as POSCAR:
```
CaFeO2
1.0
-2.403 2.403 4.870
2.403 -2.403 4.870
2.403 2.403 -4.870
Ca Fe O
2 2 4
direct
0.000 0.000 0.000
0.750 0.250 0.500
0.250 0.750 0.500
0.500 0.500 0.000
0.173 0.625 0.048
0.375 0.423 0.548
0.577 0.125 0.952
0.875 0.827 0.452
```


Record 7
CaFe2O4 after structural relaxation, computed with GGA-PBEsol.

Results
- formation energy (no corrections) (eV/atom) = -1.5195
- energy above the most stable polymorph in this dataset (meV per atom) = 245

Cell and atoms, written as POSCAR:
```
CaFe2O4
1.0
5.156 0.000 0.000
0.000 5.156 0.000
0.000 0.000 3.255
Ca Fe O
1 2 4
direct
0.000 0.000 0.000
0.000 0.500 0.500
0.500 0.000 0.500
0.243 0.243 0.500
0.243 0.757 0.500
0.757 0.243 0.500
0.757 0.757 0.500
```


Record 8
CaFe2O4 after structural relaxation, computed with GGA-PBEsol.

Results
- formation energy (no corrections) (eV/atom) = -1.6389
- energy above the most stable polymorph in this dataset (meV per atom) = 125

Cell and atoms, written as POSCAR:
```
CaFe2O4
1.0
0.000 4.211 4.211
4.211 0.000 4.211
4.211 4.211 0.000
Ca Fe O
2 4 8
direct
0.125 0.125 0.125
0.875 0.875 0.875
0.000 0.500 0.500
0.500 0.000 0.500
0.500 0.500 0.000
0.500 0.500 0.500
0.272 0.272 0.272
0.272 0.272 0.684
0.272 0.684 0.272
0.316 0.728 0.728
0.684 0.272 0.272
0.728 0.316 0.728
0.728 0.728 0.316
0.728 0.728 0.728
```


Record 9
CaFeO2 after structural relaxation, computed with GGA-PBEsol.

Results
- formation energy (no corrections) (eV/atom) = -2.0456

Cell and atoms, written as POSCAR:
```
CaFeO2
1.0
3.774 0.000 0.000
0.000 3.774 0.000
0.000 0.000 3.173
Ca Fe O
1 1 2
direct
0.000 0.000 0.000
0.500 0.500 0.500
0.000 0.500 0.500
0.500 0.000 0.500
```


Record 10
CaFe2O4 after structural relaxation, computed with GGA-PBEsol.

Results
- formation energy (no corrections) (eV/atom) = -1.7642
- energy above the most stable polymorph in this dataset (meV per atom) = 0

Cell and atoms, written as POSCAR:
```
CaFe2O4
1.0
5.744 0.000 0.000
0.000 10.791 0.000
0.000 0.000 4.779
Ca Fe O
4 8 16
direct
0.250 0.250 0.035
0.250 0.750 0.341
0.750 0.250 0.659
0.750 0.750 0.965
0.000 0.000 0.500
0.000 0.500 0.500
0.250 0.506 0.994
0.250 0.994 0.994
0.500 0.000 0.500
0.500 0.500 0.500
0.750 0.006 0.006
0.750 0.494 0.006
0.002 0.098 0.841
0.002 0.402 0.841
0.250 0.088 0.335
0.250 0.412 0.335
0.250 0.596 0.658
0.250 0.904 0.658
0.498 0.098 0.841
0.498 0.402 0.841
0.502 0.598 0.159
0.502 0.902 0.159
0.750 0.096 0.342
0.750 0.404 0.342
0.750 0.588 0.665
0.750 0.912 0.665
0.998 0.598 0.159
0.998 0.902 0.159
```


Record 11
CaFeO2 after structural relaxation, computed with GGA-PBEsol.

Results
- formation energy (no corrections) (eV/atom) = -1.1509

Cell and atoms, written as POSCAR:
```
CaFeO2
1.0
1.618 0.934 6.191
-1.618 0.934 6.191
0.000 -1.868 6.191
Ca Fe O
1 1 2
direct
0.000 0.000 0.000
0.500 0.500 0.500
0.114 0.114 0.114
0.886 0.886 0.886
```


Record 12
CaFeP4O12 after structural relaxation, computed with GGA-PBEsol.

Results
- formation energy (no corrections) (eV/atom) = -2.2118

Cell and atoms, written as POSCAR:
```
CaFeP4O12
1.0
6.169 -4.362 0.000
6.169 4.362 0.000
-4.875 0.000 8.630
Ca Fe P O
2 2 8 24
direct
0.052 0.948 0.750
0.948 0.052 0.250
0.000 0.500 0.500
0.500 0.000 0.000
0.275 0.718 0.029
0.282 0.725 0.471
0.305 0.311 0.800
0.311 0.305 0.300
0.689 0.695 0.700
0.695 0.689 0.200
0.718 0.275 0.529
0.725 0.282 0.971
0.100 0.824 0.082
0.129 0.289 0.320
0.176 0.900 0.418
0.182 0.356 0.652
0.208 0.683 0.574
0.260 0.490 0.946
0.289 0.129 0.820
0.296 0.531 0.323
0.317 0.792 0.926
0.356 0.182 0.152
0.469 0.704 0.177
0.490 0.260 0.446
0.510 0.740 0.554
0.531 0.296 0.823
0.644 0.818 0.848
0.683 0.208 0.074
0.704 0.469 0.677
0.711 0.871 0.180
0.740 0.510 0.054
0.792 0.317 0.426
0.818 0.644 0.348
0.824 0.100 0.582
0.871 0.711 0.680
0.900 0.176 0.918
```